CrCuSb2W: relaxed, PBE.

Values from the calculation:
- size of the total moment (μB per formula unit) = 4.98
- calculated volume (Å³/cell) = 130
- energy relative to the elements, uncorrected (eV/f.u.) = 5.4

a b c (Å): 5.180 4.861 5.180
angles (deg): 90.00 90.00 90.00
Site moments in Bohr magnetons follow the coordinates.
Atoms (fractional coordinates):
Sb (0.000, 0.000, 0.500)  0.06
Sb (0.500, 0.000, 0.000)  0.03
Cu (0.000, 0.500, 0.000)  -0.01
W (0.000, 0.000, 0.000)  -0.25
Cr (0.500, 0.500, 0.500)  -4.19

=====

Rb2Y2RuO6: relaxed, PBE.

Values from the calculation:
- size of the total moment (μB per formula unit) = 2.00
- calculated volume (Å³/cell) = 194
- energy relative to the elements, uncorrected (eV/f.u.) = -23.9

a b c (Å): 5.789 5.789 6.875
angles (deg): 97.52 97.52 119.51
Site moments in Bohr magnetons follow the coordinates.
Atoms (fractional coordinates):
Rb (0.836, 0.164, 0.000)  0.00
Rb (0.164, 0.836, 0.000)  0.00
Y (0.335, 0.665, 0.500)  0.01
Y (0.665, 0.335, 0.500)  0.01
Ru (0.000, 0.000, 0.500)  1.45
O (0.747, 0.747, 0.667)  0.06
O (0.048, 0.357, 0.664)  0.07
O (0.253, 0.253, 0.333)  0.06
O (0.357, 0.048, 0.664)  0.07
O (0.952, 0.643, 0.336)  0.07
O (0.643, 0.952, 0.336)  0.07

=====

Ac2RuO: relaxed, PBE.

Values from the calculation:
- E above lowest polymorph (eV/atom) = 0.000
- size of the total moment (μB per formula unit) = 0.00
- calculated volume (Å³/cell) = 97
- energy relative to the elements, uncorrected (eV/f.u.) = -4.4

a b c (Å): 3.946 3.946 7.530
angles (deg): 74.81 74.81 60.00
Atoms (fractional coordinates):
Ru (0.000, 0.000, 0.000)
Ac (0.242, 0.242, 0.275)
Ac (0.758, 0.758, 0.725)
O (0.500, 0.500, 0.500)

=====

Cs12Pd3S5: relaxed, PBE.

Values from the calculation:
- size of the total moment (μB per formula unit) = 2.41
- calculated volume (Å³/cell) = 4226
- energy relative to the elements, uncorrected (eV/f.u.) = -7.2

a b c (Å): 17.641 17.641 17.641
angles (deg): 109.47 109.47 109.47
Site moments in Bohr magnetons follow the coordinates.
Atoms (fractional coordinates):
Pd (0.750, 0.375, 0.125)  0.07
Pd (0.875, 0.750, 0.125)  0.07
Pd (0.375, 0.750, 0.625)  0.07
Pd (0.250, 0.125, 0.375)  0.07
Pd (0.875, 0.125, 0.250)  0.07
Pd (0.375, 0.625, 0.250)  0.07
Pd (0.625, 0.375, 0.750)  0.07
Pd (0.125, 0.875, 0.750)  0.07
Pd (0.750, 0.875, 0.625)  0.07
Pd (0.625, 0.250, 0.375)  0.07
Pd (0.125, 0.250, 0.875)  0.07
Pd (0.250, 0.625, 0.875)  0.07
S (0.125, 0.375, 0.250)  0.10
S (0.000, 0.500, 0.000)  0.09
S (0.000, 0.000, 0.000)  0.09
S (0.375, 0.250, 0.125)  0.10
S (0.500, 0.000, 0.500)  0.09
S (0.500, 0.500, 0.000)  0.09
S (0.125, 0.750, 0.375)  0.10
S (0.750, 0.125, 0.875)  0.10
S (0.750, 0.625, 0.375)  0.10
S (0.375, 0.125, 0.750)  0.10
S (0.625, 0.875, 0.250)  0.10
S (0.500, 0.500, 0.500)  0.09
S (0.500, 0.000, 0.000)  0.09
S (0.000, 0.000, 0.500)  0.09
S (0.250, 0.375, 0.625)  0.10
S (0.250, 0.875, 0.125)  0.10
S (0.000, 0.500, 0.500)  0.09
S (0.875, 0.250, 0.625)  0.10
S (0.625, 0.750, 0.875)  0.10
S (0.875, 0.625, 0.750)  0.10
Cs (0.719, 0.119, 0.043)  0.01
Cs (0.324, 0.543, 0.424)  0.01
Cs (0.957, 0.381, 0.281)  0.01
Cs (0.543, 0.219, 0.119)  0.01
Cs (0.601, 0.719, 0.676)  0.01
Cs (0.957, 0.576, 0.176)  0.01
Cs (0.324, 0.781, 0.399)  0.01
Cs (0.076, 0.899, 0.119)  0.01
Cs (0.576, 0.957, 0.676)  0.01
Cs (0.719, 0.601, 0.176)  0.01
Cs (0.781, 0.457, 0.381)  0.01
Cs (0.824, 0.924, 0.043)  0.01
Cs (0.119, 0.719, 0.543)  0.01
Cs (0.381, 0.424, 0.101)  0.01
Cs (0.101, 0.924, 0.381)  0.01
Cs (0.399, 0.119, 0.576)  0.01
Cs (0.101, 0.176, 0.219)  0.01
Cs (0.457, 0.676, 0.076)  0.01
Cs (0.824, 0.899, 0.281)  0.01
Cs (0.119, 0.399, 0.076)  0.01
Cs (0.381, 0.957, 0.781)  0.01
Cs (0.576, 0.619, 0.399)  0.01
Cs (0.924, 0.824, 0.543)  0.01
Cs (0.781, 0.324, 0.899)  0.01
Cs (0.424, 0.381, 0.601)  0.01
Cs (0.076, 0.176, 0.457)  0.01
Cs (0.219, 0.676, 0.101)  0.01
Cs (0.176, 0.101, 0.719)  0.01
Cs (0.619, 0.043, 0.219)  0.01
Cs (0.881, 0.601, 0.924)  0.01
Cs (0.543, 0.324, 0.924)  0.01
Cs (0.601, 0.881, 0.424)  0.01
Cs (0.899, 0.824, 0.781)  0.01
Cs (0.899, 0.076, 0.619)  0.01
Cs (0.881, 0.281, 0.457)  0.01
Cs (0.176, 0.076, 0.957)  0.01
Cs (0.619, 0.576, 0.899)  0.01
Cs (0.424, 0.043, 0.324)  0.01
Cs (0.281, 0.399, 0.824)  0.01
Cs (0.219, 0.543, 0.619)  0.01
Cs (0.924, 0.101, 0.881)  0.01
Cs (0.676, 0.219, 0.601)  0.01
Cs (0.457, 0.781, 0.881)  0.01
Cs (0.043, 0.424, 0.824)  0.01
Cs (0.399, 0.281, 0.324)  0.01
Cs (0.043, 0.619, 0.719)  0.01
Cs (0.676, 0.457, 0.576)  0.01
Cs (0.281, 0.881, 0.957)  0.01

=====

AlSnOs3: relaxed, PBE.

Values from the calculation:
- ΔH_f (0 K) (eV per formula unit) = 12.505
- E above lowest polymorph (eV/atom) = 1.093
- size of the total moment (μB per formula unit) = 1.11
- calculated volume (Å³/cell) = 110

a b c (Å): 4.796 4.796 4.796
angles (deg): 90.00 90.00 90.00
Site moments in Bohr magnetons follow the coordinates.
Atoms (fractional coordinates):
Os (0.000, 0.500, 0.000)  0.36
Os (0.000, 0.000, 0.500)  0.37
Os (0.500, 0.000, 0.000)  0.36
Sn (0.000, 0.000, 0.000)  -0.02
Al (0.500, 0.500, 0.500)  -0.02

=====

Na4Pm3SnTe8: relaxed, PBE.

Values from the calculation:
- size of the total moment (μB per formula unit) = 0.00
- calculated volume (Å³/cell) = 532
- energy relative to the elements, uncorrected (eV/f.u.) = -17.7

a b c (Å): 9.022 9.174 9.021
angles (deg): 119.47 120.01 90.00
Atoms (fractional coordinates):
Na (0.500, 0.000, 0.000)
Na (0.500, 0.000, 0.500)
Na (0.000, 0.000, 0.000)
Na (0.000, 0.000, 0.500)
Pm (0.500, 0.500, 0.000)
Pm (0.500, 0.500, 0.500)
Pm (0.000, 0.500, 0.500)
Sn (0.000, 0.500, 0.000)
Te (0.242, 0.734, 0.992)
Te (0.242, 0.734, 0.484)
Te (0.254, 0.262, 0.508)
Te (0.751, 0.734, 0.992)
Te (0.249, 0.266, 0.008)
Te (0.746, 0.738, 0.492)
Te (0.758, 0.266, 0.516)
Te (0.758, 0.266, 0.008)

=====

LiYCl4: relaxed, PBE.

Values from the calculation:
- E above lowest polymorph (eV/atom) = 0.000
- size of the total moment (μB per formula unit) = 0.00
- calculated volume (Å³/cell) = 173
- energy relative to the elements, uncorrected (eV/f.u.) = -12.6

a b c (Å): 3.955 6.560 6.704
angles (deg): 95.29 90.00 90.00
Atoms (fractional coordinates):
Li (0.500, 0.000, 0.500)
Y (0.000, 0.000, 0.000)
Cl (0.000, 0.798, 0.317)
Cl (0.500, 0.228, 0.176)
Cl (0.500, 0.772, 0.824)
Cl (0.000, 0.202, 0.683)

=====

YHf2TlH: relaxed, PBE.

Values from the calculation:
- final energy (eV/cell) = -32.7
- size of the total moment (μB per formula unit) = 0.00
- calculated volume (Å³/cell) = 96

a b c (Å): 4.513 4.513 4.698
angles (deg): 90.00 90.00 90.00
Atoms (fractional coordinates):
Y (0.000, 0.000, 0.500)
H (0.000, 0.000, 0.000)
Tl (0.500, 0.500, 0.500)
Hf (0.000, 0.500, 0.000)
Hf (0.500, 0.000, 0.000)

=====

InTc2Se: relaxed, PBE.

Values from the calculation:
- E above lowest polymorph (eV/atom) = 0.394
- size of the total moment (μB per formula unit) = 0.00
- calculated volume (Å³/cell) = 65
- energy relative to the elements, uncorrected (eV/f.u.) = 1.9

a b c (Å): 4.515 4.515 4.515
angles (deg): 60.00 60.00 60.00
Atoms (fractional coordinates):
Tc (0.250, 0.250, 0.250)
Tc (0.750, 0.750, 0.750)
Se (0.000, 0.000, 0.000)
In (0.500, 0.500, 0.500)

=====

Pr4Dy5Y2: relaxed, PBE.

Values from the calculation:
- ΔH_f (0 K) (eV per formula unit) = 1.095
- E above lowest polymorph (eV/atom) = 0.000
- size of the total moment (μB per formula unit) = 0.00
- calculated volume (Å³/cell) = 369

a b c (Å): 5.708 6.681 10.081
angles (deg): 90.99 106.44 90.00
Atoms (fractional coordinates):
Pr (0.306, 0.929, 0.612)
Pr (0.981, 0.713, 0.961)
Pr (0.694, 0.071, 0.388)
Pr (0.019, 0.287, 0.039)
Dy (0.791, 0.597, 0.582)
Dy (0.209, 0.403, 0.418)
Dy (0.870, 0.108, 0.739)
Dy (0.500, 0.000, 0.000)
Dy (0.130, 0.892, 0.261)
Y (0.402, 0.446, 0.804)
Y (0.598, 0.554, 0.196)

=====

Be2AgSb: relaxed, PBE.

Values from the calculation:
- size of the total moment (μB per formula unit) = 0.00
- calculated volume (Å³/cell) = 65
- energy relative to the elements, uncorrected (eV/f.u.) = 1.6

a b c (Å): 3.380 3.027 6.395
angles (deg): 89.96 90.00 90.00
Atoms (fractional coordinates):
Sb (0.500, 0.250, 0.250)
Ag (0.500, 0.750, 0.750)
Be (0.000, 0.250, 0.926)
Be (0.000, 0.250, 0.574)

=====

HfZrMnRe: relaxed, PBE.

Values from the calculation:
- ΔH_f (0 K) (eV per formula unit) = -0.672
- size of the total moment (μB per formula unit) = 1.45
- calculated volume (Å³/cell) = 69

a b c (Å): 4.610 4.610 4.610
angles (deg): 60.00 60.00 60.00
Site moments in Bohr magnetons follow the coordinates.
Atoms (fractional coordinates):
Re (0.500, 0.500, 0.500)  0.14
Mn (0.000, 0.000, 0.000)  1.72
Hf (0.750, 0.750, 0.750)  -0.17
Zr (0.250, 0.250, 0.250)  -0.19

=====

Copy entry 9 word for word.
InTc2Se: relaxed, PBE.

Values from the calculation:
- E above lowest polymorph (eV/atom) = 0.394
- size of the total moment (μB per formula unit) = 0.00
- calculated volume (Å³/cell) = 65
- energy relative to the elements, uncorrected (eV/f.u.) = 1.9

a b c (Å): 4.515 4.515 4.515
angles (deg): 60.00 60.00 60.00
Atoms (fractional coordinates):
Tc (0.250, 0.250, 0.250)
Tc (0.750, 0.750, 0.750)
Se (0.000, 0.000, 0.000)
In (0.500, 0.500, 0.500)

=====

Question: Which value of size of the total moment does entry 4 give?
Answer: 2.41 μB per formula unit

=====

Please write out number 9 again, unchanged.
InTc2Se: relaxed, PBE.

Values from the calculation:
- E above lowest polymorph (eV/atom) = 0.394
- size of the total moment (μB per formula unit) = 0.00
- calculated volume (Å³/cell) = 65
- energy relative to the elements, uncorrected (eV/f.u.) = 1.9

a b c (Å): 4.515 4.515 4.515
angles (deg): 60.00 60.00 60.00
Atoms (fractional coordinates):
Tc (0.250, 0.250, 0.250)
Tc (0.750, 0.750, 0.750)
Se (0.000, 0.000, 0.000)
In (0.500, 0.500, 0.500)

=====

Copy entry 5 word for word.
AlSnOs3: relaxed, PBE.

Values from the calculation:
- ΔH_f (0 K) (eV per formula unit) = 12.505
- E above lowest polymorph (eV/atom) = 1.093
- size of the total moment (μB per formula unit) = 1.11
- calculated volume (Å³/cell) = 110

a b c (Å): 4.796 4.796 4.796
angles (deg): 90.00 90.00 90.00
Site moments in Bohr magnetons follow the coordinates.
Atoms (fractional coordinates):
Os (0.000, 0.500, 0.000)  0.36
Os (0.000, 0.000, 0.500)  0.37
Os (0.500, 0.000, 0.000)  0.36
Sn (0.000, 0.000, 0.000)  -0.02
Al (0.500, 0.500, 0.500)  -0.02